Entry 1:
This record from the Alexandria database describes Zn16Ag6Au7 after structural relaxation. The functional is PBE-GGA.

```
Zn16Ag6Au7
1.0
-1.2625 -2.5340 8.4079
-1.9638 -8.4542 1.8378
5.9837 -5.1708 4.0206
Zn Au Ag
16 7 6
direct
0.3404 0.3404 0.9789 Zn
0.9789 0.3404 0.3404 Zn
0.1214 0.6357 0.1214 Zn
0.8786 0.8786 0.3643 Zn
0.6357 0.1214 0.1214 Zn
0.3404 0.3404 0.3404 Zn
0.8786 0.8786 0.8786 Zn
0.8786 0.3643 0.8786 Zn
0.1214 0.1214 0.1214 Zn
0.6596 0.6596 0.6596 Zn
0.6596 0.6596 0.0211 Zn
0.0211 0.6596 0.6596 Zn
0.3404 0.9789 0.3404 Zn
0.3643 0.8786 0.8786 Zn
0.1214 0.1214 0.6357 Zn
0.6596 0.0211 0.6596 Zn
0.5000 0.0000 0.0000 Au
0.0000 0.0000 0.0000 Au
0.5000 0.5000 0.0000 Au
0.5000 0.0000 0.5000 Au
0.0000 0.5000 0.5000 Au
0.0000 0.5000 0.0000 Au
0.0000 0.0000 0.5000 Au
0.3209 0.6791 0.3209 Ag
0.6791 0.3209 0.6791 Ag
0.3209 0.3209 0.6791 Ag
0.6791 0.3209 0.3209 Ag
0.3209 0.6791 0.6791 Ag
0.6791 0.6791 0.3209 Ag
```

Results
Energy = -63.367 eV/cell
Size of the total moment = 0.000 μB/cell
Energy of formation from the pure elements = -101 meV per atom
Crystal system = cubic
Density = 10.3 g/cm³

Entry 2:
This record from the Alexandria database describes ZnAgAu after structural relaxation. The functional is PBE-GGA.

```
ZnAgAu
1.0
-0.5257 3.0778 -2.8387
-3.1266 -0.8946 -3.5270
-4.9581 1.4047 2.4413
Au Ag Zn
2 2 2
direct
0.6163 0.4291 0.4617 Au
0.9480 0.7656 0.1377 Au
0.9500 0.7618 0.6420 Ag
0.2822 0.0973 0.8215 Ag
0.6152 0.4310 0.9680 Zn
0.2832 0.0951 0.3197 Zn
```

Results
Energy = -15.500 eV/cell
Size of the total moment = 0.000 μB/cell
Energy of formation from the pure elements = -116 meV per atom
Crystal system = monoclinic
Energy above the most stable polymorph in this dataset = 0.0 kJ/mol of atoms
Density = 12.2 g/cm³

Entry 3:
This record from the Alexandria database describes Zn5Ag2Au4 after structural relaxation. The functional is PBE-GGA.

```
Zn5Ag2Au4
1.0
6.0147 0.0000 0.0000
3.0074 6.7801 -1.4975
3.0074 0.3607 4.5701
Zn Au Ag
5 4 2
direct
0.7749 0.1798 0.8345 Zn
0.7891 0.8202 0.1655 Zn
0.2251 0.8202 0.1655 Zn
0.2109 0.1798 0.8345 Zn
0.0000 0.5000 0.5000 Zn
0.3001 0.4779 0.9219 Au
0.6999 0.5221 0.0781 Au
0.2854 0.1326 0.2966 Au
0.7146 0.8674 0.7034 Au
0.2826 0.8046 0.6302 Ag
0.7174 0.1954 0.3698 Ag
```

Results
Energy = -26.385 eV/cell
Size of the total moment = 0.000 μB/cell
Energy of formation from the pure elements = -109 meV per atom
Crystal system = monoclinic
Energy above the most stable polymorph in this dataset = 0.7 kJ/mol of atoms
Density = 11.7 g/cm³

Entry 4:
This record from the Alexandria database describes ZnAg6Au3 after structural relaxation. The functional is PBE-GGA.

```
ZnAg6Au3
1.0
4.0536 0.0000 0.0000
0.0000 7.8907 -3.8686
0.0000 0.8192 11.6323
Ag Au Zn
12 6 2
direct
0.2500 0.7082 0.1576 Ag
0.7500 0.7886 0.7925 Ag
0.2500 0.8848 0.9944 Ag
0.7500 0.6341 0.5223 Ag
0.7500 0.1263 0.4603 Ag
0.2500 0.8737 0.5397 Ag
0.2500 0.5456 0.8444 Ag
0.7500 0.2918 0.8424 Ag
0.7500 0.4544 0.1556 Ag
0.2500 0.2114 0.2075 Ag
0.2500 0.3659 0.4777 Ag
0.7500 0.1152 0.0056 Ag
0.2500 0.0278 0.8056 Au
0.7500 0.7914 0.3473 Au
0.2500 0.5535 0.3361 Au
0.7500 0.9722 0.1944 Au
0.2500 0.2086 0.6527 Au
0.7500 0.4465 0.6639 Au
0.7500 0.6646 0.9986 Zn
0.2500 0.3354 0.0014 Zn
```

Results
Energy = -54.949 eV/cell
Size of the total moment = 0.000 μB/cell
Energy of formation from the pure elements = 74 meV per atom
Crystal system = monoclinic
Energy above the most stable polymorph in this dataset = 3.8 kJ/mol of atoms
Density = 11.2 g/cm³

Entry 5:
This record from the Alexandria database describes Zn2Ag3Au2 after structural relaxation. The functional is PBE-GGA.

```
Zn2Ag3Au2
1.0
-2.0544 2.3430 2.8941
-1.3840 -2.3952 0.9566
8.8728 -1.5649 4.4406
Zn Au Ag
2 2 3
direct
0.1520 0.6520 0.3041 Zn
0.8480 0.3480 0.6959 Zn
0.4265 0.4265 0.8530 Au
0.5735 0.5735 0.1470 Au
0.7085 0.2085 0.4170 Ag
0.2915 0.7915 0.5830 Ag
0.0000 0.0000 0.0000 Ag
```

Results
Energy = -18.160 eV/cell
Size of the total moment = 0.000 μB/cell
Energy of formation from the pure elements = -72 meV per atom
Crystal system = orthorhombic
Energy above the most stable polymorph in this dataset = 0.0 kJ/mol of atoms
Density = 11.7 g/cm³

Entry 6:
This record from the Alexandria database describes Zn12Ag6Au after structural relaxation. The functional is PBE-GGA.

```
Zn12Ag6Au
1.0
6.7601 0.3999 0.4791
-0.6295 6.7426 0.4791
-0.6295 -0.7335 6.7197
Zn Ag Au
12 6 1
direct
0.5542 0.2104 0.4645 Zn
0.3725 0.0497 0.1460 Zn
0.9503 0.8540 0.6275 Zn
0.4645 0.5542 0.2104 Zn
0.6275 0.9503 0.8540 Zn
0.4458 0.7896 0.5355 Zn
0.5355 0.4458 0.7896 Zn
0.2104 0.4645 0.5542 Zn
0.7896 0.5355 0.4458 Zn
0.1460 0.3725 0.0497 Zn
0.0497 0.1460 0.3725 Zn
0.8540 0.6275 0.9503 Zn
0.2862 0.1148 0.7191 Ag
0.1148 0.7191 0.2862 Ag
0.7138 0.8852 0.2809 Ag
0.7191 0.2862 0.1148 Ag
0.8852 0.2809 0.7138 Ag
0.2809 0.7138 0.8852 Ag
0.0000 0.0000 0.0000 Au
```

Results
Energy = -36.048 eV/cell
Size of the total moment = 0.000 μB/cell
Energy of formation from the pure elements = -20 meV per atom
Crystal system = trigonal
Energy above the most stable polymorph in this dataset = 0.0 kJ/mol of atoms
Density = 8.7 g/cm³

Entry 7:
This record from the Alexandria database describes ZnAg2Au3 after structural relaxation. The functional is PBE-GGA.

```
ZnAg2Au3
1.0
4.0631 0.0000 0.7336
2.0315 6.2628 0.3668
2.6728 0.0000 8.6794
Au Ag Zn
6 4 2
direct
0.7474 0.0000 0.7536 Au
0.2526 0.0000 0.2464 Au
0.4044 0.6603 0.7662 Au
0.5956 0.3397 0.2338 Au
0.0647 0.3397 0.7662 Au
0.9353 0.6603 0.2338 Au
0.5000 0.0000 0.5000 Ag
0.0000 0.0000 0.0000 Ag
0.8322 0.3356 0.5000 Ag
0.1678 0.6644 0.5000 Ag
0.3381 0.3237 0.0000 Zn
0.6619 0.6763 0.0000 Zn
```

Results
Energy = -34.801 eV/cell
Size of the total moment = 0.000 μB/cell
Energy of formation from the pure elements = -99 meV per atom
Crystal system = monoclinic
Density = 13.9 g/cm³

Entry 8:
This record from the Alexandria database describes Zn2Ag2Au7 after structural relaxation. The functional is PBE-GGA.

```
Zn2Ag2Au7
1.0
-2.6694 6.6533 1.4137
-3.3795 -3.0372 2.6067
4.7077 -0.8709 3.1658
Zn Au Ag
2 7 2
direct
0.2605 0.8546 0.1631 Zn
0.7395 0.1454 0.8369 Zn
0.2884 0.3249 0.0049 Au
0.7116 0.6751 0.9951 Au
0.0346 0.4621 0.2671 Au
0.3558 0.8208 0.7381 Au
0.6442 0.1792 0.2619 Au
0.9654 0.5379 0.7329 Au
0.0000 0.0000 0.5000 Au
0.6120 0.7122 0.4486 Ag
0.3880 0.2878 0.5514 Ag
```

Results
Energy = -31.836 eV/cell
Size of the total moment = 0.000 μB/cell
Energy of formation from the pure elements = -59 meV per atom
Crystal system = triclinic
Density = 14.6 g/cm³

Entry 9:
This record from the Alexandria database describes ZnAg4Au7 after structural relaxation. The functional is PBE-GGA.

```
ZnAg4Au7
1.0
5.0005 0.0000 0.0000
2.5003 9.0512 -0.3547
2.5003 0.1381 5.1288
Au Ag Zn
7 4 1
direct
0.3481 0.5330 0.7709 Au
0.0416 0.6222 0.2946 Au
0.8040 0.9193 0.4727 Au
0.5000 0.0000 0.0000 Au
0.1960 0.0807 0.5273 Au
0.9584 0.3778 0.7054 Au
0.6519 0.4670 0.2291 Au
0.5940 0.2282 0.5837 Ag
0.4060 0.7718 0.4163 Ag
0.7287 0.6921 0.8506 Ag
0.2713 0.3079 0.1494 Ag
0.0000 0.0000 0.0000 Zn
```

Results
Energy = -35.068 eV/cell
Size of the total moment = 0.000 μB/cell
Energy of formation from the pure elements = 46 meV per atom
Crystal system = monoclinic
Energy above the most stable polymorph in this dataset = 5.9 kJ/mol of atoms
Density = 13.4 g/cm³

Entry 10:
This record from the Alexandria database describes Zn6AgAu5 after structural relaxation. The functional is PBE-GGA.

```
Zn6AgAu5
1.0
-1.7174 5.7469 -5.0512
-4.1415 1.3081 -0.9376
-1.7878 5.1358 4.5341
Au Zn Ag
5 6 1
direct
0.0000 0.6588 0.6824 Au
0.5000 0.5000 0.0000 Au
0.5000 0.1683 0.6634 Au
0.0000 0.3412 0.3176 Au
0.5000 0.8317 0.3366 Au
0.2465 0.9232 0.6616 Zn
0.2465 0.5849 0.3384 Zn
0.7535 0.4151 0.6616 Zn
0.7535 0.0768 0.3384 Zn
0.7410 0.7596 0.0000 Zn
0.2590 0.2404 0.0000 Zn
0.0000 0.0000 0.0000 Ag
```

Results
Energy = -29.125 eV/cell
Size of the total moment = 0.000 μB/cell
Energy of formation from the pure elements = -187 meV per atom
Crystal system = monoclinic
Energy above the most stable polymorph in this dataset = 0.2 kJ/mol of atoms
Density = 12.7 g/cm³

Entry 11:
This record from the Alexandria database describes Zn6AgAu5 after structural relaxation. The functional is PBE-GGA.

```
Zn6AgAu5
1.0
4.4076 -0.0091 -1.2390
-3.3131 6.2784 -3.3403
-0.2027 -1.0041 7.7784
Zn Au Ag
6 5 1
direct
0.7458 0.9146 0.5772 Zn
0.2542 0.4228 0.0854 Zn
0.2542 0.0854 0.4228 Zn
0.7589 0.2590 0.2590 Zn
0.2411 0.7410 0.7410 Zn
0.7458 0.5772 0.9146 Zn
0.0000 0.3307 0.6693 Au
0.5000 0.5000 0.5000 Au
0.5000 0.1590 0.8410 Au
0.5000 0.8410 0.1590 Au
0.0000 0.6693 0.3307 Au
0.0000 0.0000 0.0000 Ag
```

Results
Energy = -29.153 eV/cell
Size of the total moment = 0.000 μB/cell
Energy of formation from the pure elements = -189 meV per atom
Crystal system = monoclinic
Energy above the most stable polymorph in this dataset = 0.0 kJ/mol of atoms
Density = 12.7 g/cm³

Entry 12:
This record from the Alexandria database describes Zn4AgAu after structural relaxation. The functional is PBE-GGA.

```
Zn4AgAu
1.0
-2.6086 1.3806 0.1760
-3.9099 -4.3165 0.7427
1.2382 4.8434 5.1948
Ag Zn Au
1 4 1
direct
0.0000 0.0000 0.0000 Ag
0.1628 0.5091 0.1653 Zn
0.3346 0.9947 0.3362 Zn
0.8372 0.4909 0.8347 Zn
0.6654 0.0053 0.6638 Zn
0.5000 0.5000 0.5000 Au
```

Results
Energy = -11.603 eV/cell
Size of the total moment = 0.000 μB/cell
Energy of formation from the pure elements = -63 meV per atom
Crystal system = monoclinic
Energy above the most stable polymorph in this dataset = 2.6 kJ/mol of atoms
Density = 9.9 g/cm³